Entry 1:
First-principles (GGA-PBE) data for a relaxed Tc2HgSe crystal, as listed in the Alexandria database.

Properties
ΔE_f (raw), meV per atom: 539
Energy relative to the lowest polymorph listed for this composition, eV/atom: 0.375
Energy, eV/atom: -5.5909
Spin magnetization, μB/atom: 0.000
N(E_F), states/eV/f.u.: 4.76

Geometry as CIF:
```
data_Tc2HgSe
_cell_length_a 5.726
_cell_length_b 5.726
_cell_length_c 5.726
_cell_angle_alpha 149.80
_cell_angle_beta 131.84
_cell_angle_gamma 57.90
_symmetry_space_group_name_H-M 'P 1'
_symmetry_Int_Tables_number 1
loop_
_symmetry_equiv_pos_as_xyz
'x,y,z'
loop_
_atom_site_label
_atom_site_fract_x
_atom_site_fract_y
_atom_site_fract_z
Tc1 0.000 0.000 0.000
Tc2 0.786 0.286 0.500
Hg1 0.493 0.493 0.000
Se1 0.215 0.715 0.500
```



Entry 2:
First-principles (GGA-PBE) data for a relaxed AgHg2Ru crystal, as listed in the Alexandria database.

Properties
Formation enthalpy at 0 K, eV per atom: 0.560
Energy relative to the lowest polymorph listed for this composition, eV/atom: 0.175
Energy, eV/atom: -2.6231
Spin magnetization, μB/atom: 0.000
N(E_F), states/eV/f.u.: 2.32

Geometry as CIF:
```
data_AgHg2Ru
_cell_length_a 4.709
_cell_length_b 4.709
_cell_length_c 4.709
_cell_angle_alpha 60.00
_cell_angle_beta 60.00
_cell_angle_gamma 60.00
_symmetry_space_group_name_H-M 'P 1'
_symmetry_Int_Tables_number 1
loop_
_symmetry_equiv_pos_as_xyz
'x,y,z'
loop_
_atom_site_label
_atom_site_fract_x
_atom_site_fract_y
_atom_site_fract_z
Ag1 0.000 0.000 0.000
Hg1 0.500 0.500 0.500
Hg2 0.750 0.750 0.750
Ru1 0.250 0.250 0.250
```



Entry 3:
First-principles (GGA-PBE) data for a relaxed MnCoNiW crystal, as listed in the Alexandria database.

Properties
Formation enthalpy at 0 K, eV per atom: 0.094
Energy, eV/atom: -8.6587
Spin magnetization, μB/atom: 0.503
N(E_F), states/eV/f.u.: 4.12

Geometry as CIF:
```
data_MnCoNiW
_cell_length_a 4.105
_cell_length_b 4.105
_cell_length_c 4.105
_cell_angle_alpha 60.00
_cell_angle_beta 60.00
_cell_angle_gamma 60.00
_symmetry_space_group_name_H-M 'P 1'
_symmetry_Int_Tables_number 1
loop_
_symmetry_equiv_pos_as_xyz
'x,y,z'
loop_
_atom_site_label
_atom_site_fract_x
_atom_site_fract_y
_atom_site_fract_z
Mn1 0.000 0.000 0.000
Co1 0.500 0.500 0.500
Ni1 0.250 0.250 0.250
W1 0.750 0.750 0.750
```



Entry 4:
First-principles (GGA-PBE) data for a relaxed Hf3BIr crystal, as listed in the Alexandria database.

Properties
Formation enthalpy at 0 K, eV per atom: -0.271
Energy relative to the lowest polymorph listed for this composition, eV/atom: 0.000
Energy, eV/atom: -9.3511
Spin magnetization, μB/atom: 0.000
N(E_F), states/eV/f.u.: 9.85

Geometry as CIF:
```
data_Hf3BIr
_cell_length_a 4.483
_cell_length_b 4.483
_cell_length_c 4.483
_cell_angle_alpha 90.00
_cell_angle_beta 90.00
_cell_angle_gamma 90.00
_symmetry_space_group_name_H-M 'P 1'
_symmetry_Int_Tables_number 1
loop_
_symmetry_equiv_pos_as_xyz
'x,y,z'
loop_
_atom_site_label
_atom_site_fract_x
_atom_site_fract_y
_atom_site_fract_z
Hf1 0.000 0.000 0.500
Hf2 0.000 0.500 0.000
Hf3 0.500 0.000 0.000
B1 0.000 0.000 0.000
Ir1 0.500 0.500 0.500
```



Entry 5:
First-principles (GGA-PBE) data for a relaxed TbCe6S12 crystal, as listed in the Alexandria database.

Properties
ΔE_f (raw), meV per atom: -1926
Energy, eV/atom: -6.6500
Spin magnetization, μB/atom: 0.164
N(E_F), states/eV/f.u.: 29.54

Geometry as CIF:
```
data_TbCe6S12
_cell_length_a 8.037
_cell_length_b 8.037
_cell_length_c 8.037
_cell_angle_alpha 99.71
_cell_angle_beta 99.71
_cell_angle_gamma 99.71
_symmetry_space_group_name_H-M 'P 1'
_symmetry_Int_Tables_number 1
loop_
_symmetry_equiv_pos_as_xyz
'x,y,z'
loop_
_atom_site_label
_atom_site_fract_x
_atom_site_fract_y
_atom_site_fract_z
Tb1 0.000 0.000 0.000
Ce1 0.135 0.618 0.301
Ce2 0.301 0.135 0.618
Ce3 0.382 0.699 0.865
Ce4 0.618 0.301 0.135
Ce5 0.699 0.865 0.382
Ce6 0.865 0.382 0.699
S1 0.056 0.675 0.934
S2 0.066 0.944 0.325
S3 0.177 0.433 0.581
S4 0.325 0.066 0.944
S5 0.419 0.823 0.567
S6 0.433 0.581 0.177
S7 0.567 0.419 0.823
S8 0.581 0.177 0.433
S9 0.675 0.934 0.056
S10 0.823 0.567 0.419
S11 0.934 0.056 0.675
S12 0.944 0.325 0.066
```



Entry 6:
First-principles (GGA-PBE) data for a relaxed NaLa2UO6 crystal, as listed in the Alexandria database.

Properties
ΔE_f (raw), meV per atom: -3140
Energy, eV/atom: -8.3616
Spin magnetization, μB/atom: 0.100

Geometry as CIF:
```
data_NaLa2UO6
_cell_length_a 6.229
_cell_length_b 6.229
_cell_length_c 6.229
_cell_angle_alpha 58.54
_cell_angle_beta 58.54
_cell_angle_gamma 58.54
_symmetry_space_group_name_H-M 'P 1'
_symmetry_Int_Tables_number 1
loop_
_symmetry_equiv_pos_as_xyz
'x,y,z'
loop_
_atom_site_label
_atom_site_fract_x
_atom_site_fract_y
_atom_site_fract_z
Na1 0.000 0.000 0.000
La1 0.271 0.271 0.271
La2 0.777 0.777 0.777
U1 0.488 0.488 0.488
O1 0.130 0.668 0.394
O2 0.216 0.592 0.848
O3 0.394 0.130 0.668
O4 0.592 0.848 0.216
O5 0.668 0.394 0.130
O6 0.848 0.216 0.592
```